The following is a GGA-PBE calculation of a relaxed LaMg4Br crystal, from Alexandria.

Unit cell a=6.202 b=6.202 c=6.202 alpha=60.00 beta=60.00 gamma=60.00
Fractional positions:
La 0.000 0.000 0.000
Mg 0.121 0.626 0.626
Mg 0.626 0.121 0.626
Mg 0.626 0.626 0.121
Mg 0.626 0.626 0.626
Br 0.250 0.250 0.250

Computed properties:
volume: 28.111 A^3/atom
mass density: 3.111 g/cm3
E_form (uncorrected): -55 meV/atom
calculated total energy: -2.219 eV per atom